# PBE BaCuP, optimized geometry
data_BaCuP
_space_group_name_H-M_alt 'P -6 m 2'
_space_group_IT_number 187
_space_group_name_Hall 'P -6 2'
_cell_length_a 4.2023
_cell_length_b 4.2023
_cell_length_c 23.1067
_cell_angle_alpha 90.00
_cell_angle_beta 90.00
_cell_angle_gamma 120.00
loop_
_atom_site_label
_atom_site_type_symbol
_atom_site_fract_x
_atom_site_fract_y
_atom_site_fract_z
_atom_site_occupancy
Ba1 Ba 0.0000 0.0000 0.0000 1
Ba2 Ba 0.0000 0.0000 0.1996 1
Ba3 Ba 0.0000 0.0000 0.3999 1
Cu1 Cu 0.3333 0.6667 0.0998 1
Cu2 Cu 0.6667 0.3333 0.2995 1
Cu3 Cu 0.6667 0.3333 0.5000 1
P1 P 0.3333 0.6667 0.3002 1
P2 P 0.3333 0.6667 0.5000 1
P3 P 0.6667 0.3333 0.0994 1
# DFT total energy	-66.21	eV per cell
# volume	353.4	Å³ per cell